Computed, not measured: a relaxed CsVGeF6 crystal at the GGA+U level of DFT.

a = 5.496 Å, b = 5.864 Å, c = 6.122 Å
α = 89.97°, β = 87.51°, γ = 67.64°
Positions (direct):
Cs 0.000 0.000 0.000
V 0.673 0.664 0.475
Ge 0.314 0.346 0.496
F 0.040 0.575 0.307
F 0.339 0.646 0.636
F 0.486 0.901 0.263
F 0.608 0.398 0.303
F 0.690 0.922 0.654
F 0.892 0.414 0.671

Results
calculated total energy	-5.3057	eV per atom
crystal system	triclinic
space group	P1 (1)